Material: Pr3ThCo
Method: DFT, PBE
State: optimized geometry

Computed properties:
Fermi-level density of states	11.667	states/eV per cell
formation energy from the elements	110	kJ/mol of formula units
uncorrected energy	-5.545	eV/atom
total moment	0.1	Bohr magnetons per cell

a = 5.4428 Å, b = 5.4428 Å, c = 5.4428 Å
α = 90.00°, β = 90.00°, γ = 90.00°
Closest atoms and distances in Å follow each position.
Space group Pm-3m (No. 221)
Inequivalent atoms, fractional coordinates:
Pr  0.0000  0.0000  0.5000 (multiplicity 3)  2 Co 2.72
Th  0.5000  0.5000  0.5000 (multiplicity 1)  12 Pr 3.85
Co  0.0000  0.0000  0.0000 (multiplicity 1)  6 Pr 2.72